Model 1:
The following is a DFT calculation (PBE) of crystalline Sm4ZnAg at its relaxed geometry.

Summary:
The total moment comes out at 0.00 μB per formula unit. The calculation puts the density of states at the Fermi level at 10.40 states/eV per cell.

Unit cell a=5.0600 b=5.0600 c=7.2497 alpha=90.00 beta=90.00 gamma=90.00
With the nearest neighbours (Å) after each atom.
Space group P4/mmm (No. 123)
Unique sites:
1 Sm 0.0000 0.5000 0.2424  2 Zn 3.08, 2 Ag 3.14
2 Zn 0.0000 0.0000 0.0000  8 Sm 3.08
3 Ag 0.5000 0.5000 0.5000  8 Sm 3.14

***

Model 2:
The following is a DFT calculation (PBE) of crystalline Sm4ZnAg at its relaxed geometry.

Summary:
The total moment comes out at 0.63 μB per formula unit. The calculation puts the density of states at the Fermi level at 7.99 states/eV per cell.

Unit cell a=3.6500 b=3.6500 c=12.6665 alpha=90.00 beta=90.00 gamma=90.00
With the nearest neighbours (Å) after each atom.
Space group P4/mmm (No. 123)
Unique sites:
1 Sm 0.0000 0.0000 0.1425  4 Zn 3.15
2 Sm 0.5000 0.5000 0.3489  4 Ag 3.21
3 Zn 0.5000 0.5000 0.0000  8 Sm 3.15
4 Ag 0.0000 0.0000 0.5000  8 Sm 3.21

***

Most stable one: model 2, least stable one: model 1.

***

Model 1:
The following is a DFT calculation (PBE) of crystalline SmZnAg4 at its relaxed geometry.

Summary:
The total moment comes out at 0.00 μB per formula unit. The calculation puts the density of states at the Fermi level at 28.33 states/eV per cell.

Unit cell a=7.8660 b=7.8660 c=7.8660 alpha=90.00 beta=90.00 gamma=90.00
With the nearest neighbours (Å) after each atom.
Space group F-43m (No. 216)
Unique sites:
1 Sm 0.0000 0.0000 0.0000  12 Ag 3.26, 4 Zn 3.41
2 Zn 0.2500 0.2500 0.2500  12 Ag 3.26, 4 Sm 3.41
3 Ag 0.1245 0.1245 0.6245  6 Ag 2.77-2.79

***

Model 2:
The following is a DFT calculation (PBE) of crystalline SmZnAg4 at its relaxed geometry.

Summary:
The total moment comes out at 0.00 μB per formula unit. The calculation puts the density of states at the Fermi level at 11.59 states/eV per cell.

Unit cell a=4.3583 b=16.2573 c=6.9095 alpha=90.00 beta=90.00 gamma=90.00
With the nearest neighbours (Å) after each atom.
Space group Cmcm (No. 63)
Unique sites:
1 Sm 0.0000 0.1240 0.2500  9 Ag 3.11-3.43, 2 Zn 3.19
2 Zn 0.0000 0.2326 0.7500  7 Ag 2.60-2.75
3 Ag 0.0000 0.0673 0.7500  1 Zn 2.69, 4 Ag 2.99
4 Ag 0.0000 0.3275 0.0528  3 Zn 2.60-2.75, 2 Ag 2.73-2.83
5 Ag 0.0000 0.5000 0.0000  6 Ag 2.83-2.99

***

Most stable one: model 2, least stable one: model 1.

***

Model 1:
The following is a DFT calculation (PBE) of crystalline Sm4ZnAg3 at its relaxed geometry.

Summary:
The total moment comes out at 0.00 μB per formula unit. The calculation puts the density of states at the Fermi level at 5.98 states/eV per cell.

Unit cell a=3.6881 b=3.6881 c=14.7909 alpha=90.00 beta=90.00 gamma=90.00
With the nearest neighbours (Å) after each atom.
Space group P4/mmm (No. 123)
Unique sites:
1 Sm 0.0000 0.0000 0.1197  4 Zn 3.15, 4 Ag 3.21
2 Sm 0.0000 0.0000 0.3731  8 Ag 3.21
3 Zn 0.5000 0.5000 0.0000  8 Sm 3.15
4 Ag 0.5000 0.5000 0.2463  8 Sm 3.21
5 Ag 0.5000 0.5000 0.5000  8 Sm 3.21

***

Model 2:
The following is a DFT calculation (PBE) of crystalline Sm4ZnAg3 at its relaxed geometry.

Summary:
The total moment comes out at 0.00 μB per formula unit. The calculation puts the density of states at the Fermi level at 8.84 states/eV per cell.

Unit cell a=3.7497 b=4.7960 c=11.4821 alpha=90.00 beta=90.00 gamma=90.00
With the nearest neighbours (Å) after each atom.
Space group Pmm2 (No. 25)
Unique sites:
1 Sm 0.0000 0.0000 0.0000  5 Ag 3.15-3.19, 2 Zn 3.15
2 Sm 0.0000 0.5000 0.2925  3 Ag 3.15-3.18, 4 Zn 3.15
3 Sm 0.5000 0.0000 0.4955  1 Zn 3.15, 6 Ag 3.16-3.20
4 Sm 0.5000 0.5000 0.7916  7 Ag 3.15-3.22
5 Zn 0.5000 0.0000 0.2209  2 Ag 2.95, 7 Sm 3.15
6 Ag 0.0000 0.0000 0.7219  2 Ag 2.97, 7 Sm 3.15-3.20
7 Ag 0.0000 0.5000 0.5692  2 Ag 2.97, 7 Sm 3.16-3.18
8 Ag 0.5000 0.5000 0.0717  2 Zn 2.95, 7 Sm 3.15-3.22

***

Most stable one: model 1, least stable one: model 2.

***

Model 1:
The following is a DFT calculation (PBE) of crystalline Sm4Zn3Ag at its relaxed geometry.

Summary:
The total moment comes out at 0.00 μB per formula unit. The calculation puts the density of states at the Fermi level at 8.48 states/eV per cell.

Unit cell a=3.6579 b=4.6127 c=11.8156 alpha=90.00 beta=90.00 gamma=90.00
With the nearest neighbours (Å) after each atom.
Space group Pmm2 (No. 25)
Unique sites:
1 Sm 0.0000 0.0000 0.0000  6 Zn 3.10-3.14, 1 Ag 3.35
2 Sm 0.0000 0.5000 0.3005  7 Zn 3.11-3.28
3 Sm 0.5000 0.0000 0.4936  5 Zn 3.11-3.28, 2 Ag 3.20
4 Sm 0.5000 0.5000 0.8018  4 Ag 3.11, 3 Zn 3.22-3.30
5 Zn 0.0000 0.5000 0.5777  2 Ag 2.83, 4 Sm 3.11
6 Zn 0.5000 0.0000 0.2160  2 Zn 2.80, 4 Sm 3.11
7 Zn 0.5000 0.5000 0.0813  2 Zn 2.80, 4 Sm 3.10
8 Ag 0.0000 0.0000 0.7161  2 Zn 2.83, 4 Sm 3.11

***

Model 2:
The following is a DFT calculation (PBE) of crystalline Sm4Zn3Ag at its relaxed geometry.

Summary:
The total moment comes out at 0.00 μB per formula unit. The calculation puts the density of states at the Fermi level at 8.80 states/eV per cell.

Unit cell a=3.6693 b=3.6693 c=14.5416 alpha=90.00 beta=90.00 gamma=90.00
With the nearest neighbours (Å) after each atom.
Space group P4/mmm (No. 123)
Unique sites:
1 Sm 0.0000 0.0000 0.1236  8 Zn 3.14-3.16
2 Sm 0.0000 0.0000 0.3685  4 Zn 3.15, 4 Ag 3.22
3 Zn 0.5000 0.5000 0.0000  8 Sm 3.16
4 Zn 0.5000 0.5000 0.2455  8 Sm 3.14-3.15
5 Ag 0.5000 0.5000 0.5000  8 Sm 3.22

***

Most stable one: model 2, least stable one: model 1.

***

Model 1:
The following is a DFT calculation (PBE) of crystalline SmZnAg3 at its relaxed geometry.

Summary:
The total moment comes out at 0.00 μB per formula unit. The calculation puts the density of states at the Fermi level at 4.12 states/eV per cell.

Unit cell a=5.8052 b=5.8156 c=6.0647 alpha=90.00 beta=93.75 gamma=90.00
With the nearest neighbours (Å) after each atom.
Space group P2_1/m (No. 11)
Unique sites:
1 Sm 0.1606 0.2500 0.1709  10 Ag 3.18-3.43, 4 Zn 3.18-3.37
2 Zn 0.0615 0.7500 0.3567  5 Ag 2.59-2.70
3 Ag 0.3231 0.5015 0.6548  2 Zn 2.67-2.70, 5 Ag 2.84-2.93
4 Ag 0.3620 0.7500 0.0586  1 Zn 2.59, 4 Ag 2.84

***

Model 2:
The following is a DFT calculation (PBE) of crystalline SmZnAg3 at its relaxed geometry.

Summary:
The total moment comes out at 0.00 μB per formula unit. The calculation puts the density of states at the Fermi level at 2.45 states/eV per cell.

Unit cell a=3.8753 b=4.4094 c=6.8091 alpha=108.86 beta=106.46 gamma=90.07
With the nearest neighbours (Å) after each atom.
Space group P1 (No. 1)
Unique sites:
1 Sm 0.0000 0.0000 0.0000  4 Zn 3.20-3.21, 6 Ag 3.20-3.37
2 Zn 0.3947 0.3948 0.7912  5 Ag 2.57-2.66
3 Ag 0.2759 0.7755 0.5515  2 Zn 2.65, 6 Ag 2.86-2.96
4 Ag 0.6060 0.6058 0.2101  1 Zn 2.57, 4 Ag 2.81-2.86
5 Ag 0.7474 0.2480 0.4948  2 Zn 2.66, 6 Ag 2.81-2.96

***

Most stable one: model 1, least stable one: model 2.

***

Model 1:
The following is a DFT calculation (PBE) of crystalline Sm2ZnAg2 at its relaxed geometry.

Summary:
The total moment comes out at 0.00 μB per formula unit. The calculation puts the density of states at the Fermi level at 17.96 states/eV per cell.

Unit cell a=10.5961 b=4.4339 c=11.1594 alpha=90.00 beta=113.81 gamma=90.00
With the nearest neighbours (Å) after each atom.
Space group C2/m (No. 12)
Unique sites:
1 Sm 0.0106 0.0000 0.3387  3 Zn 3.10-3.12, 7 Ag 3.21-3.30
2 Sm 0.1897 0.0000 0.1121  6 Ag 3.03-3.34, 2 Zn 3.26
3 Zn 0.2162 0.5000 0.3348  4 Ag 2.63-2.88
4 Ag 0.0227 0.5000 0.8840  1 Zn 2.72, 1 Ag 2.82, 1 Sm 3.03
5 Ag 0.1505 0.5000 0.5610  3 Zn 2.63-2.88, 1 Ag 2.92

***

Model 2:
The following is a DFT calculation (PBE) of crystalline Sm2ZnAg2 at its relaxed geometry.

Summary:
The total moment comes out at 0.00 μB per formula unit. The calculation puts the density of states at the Fermi level at 6.75 states/eV per cell.

Unit cell a=5.2622 b=5.2295 c=8.8237 alpha=90.00 beta=107.26 gamma=90.00
With the nearest neighbours (Å) after each atom.
Space group C2/m (No. 12)
Unique sites:
1 Sm 0.1062 0.0000 0.2092  5 Ag 3.14-3.16, 4 Zn 3.15-3.18
2 Zn 0.0000 0.5000 0.0000  8 Sm 3.15-3.18, 2 Ag 3.50
3 Ag 0.2091 0.5000 0.4157  4 Ag 2.98-3.00, 5 Sm 3.14-3.16

***

Most stable one: model 2, least stable one: model 1.